Compound: Si2HgGe
Source: the Alexandria database
Functional: GGA-PBEsol
Structure: relaxed

## Properties
The space group is Fm-3m. As for the raw formation energy: 0.523 eV/atom. As for the density of states at the Fermi level: 0.4882 states/eV per atom. For the total moment, the calculation gives 0.00 μB per cell.

Cell lengths 4.690, 4.690, 4.690 Å; angles 60.00, 60.00, 60.00 degrees
Fractional positions:
Ge: 0.000 0.000 0.000
Si: 0.250 0.250 0.250
Si: 0.750 0.750 0.750
Hg: 0.500 0.500 0.500